# TcOsSe2 | Alexandria | PBE-GGA | optimized geometry
data_TcOsSe2
_space_group_name_H-M_alt 'C m m m'
_space_group_IT_number 65
_space_group_name_Hall '-C 2 2'
_cell_length_a 6.1314
_cell_length_b 8.4532
_cell_length_c 2.6203
_cell_angle_alpha 90.00
_cell_angle_beta 90.00
_cell_angle_gamma 90.00
loop_
_atom_site_label
_atom_site_fract_x
_atom_site_fract_y
_atom_site_fract_z
Tc1 0.0000 0.0000 0.0000
Os1 0.0000 0.5000 0.0000
Se1 0.2500 0.2500 0.0000
# raw formation energy	69.9	kJ/mol of atoms
# excess energy over the best structure of this formula in the dataset	0.660	eV per atom
# N(E_F)	9.32	states/eV per cell